Entry 1:
VASP calculation (PBE-GGA) on an optimized crystal structure of Cd12In5Br3.

Computed properties:
Uncorrected formation energy   0.073 eV per atom
Symmetry   Ia-3d, No. 230
Electronic total energy   -112.9 eV for the cell shown
Crystal system   cubic

```
Cd12In5Br3
1.0
-8.8247 8.8247 8.8247
8.8247 -8.8247 8.8247
8.8247 8.8247 -8.8247
Cd In Br
48 20 12
direct
0.0389 0.2179 0.0904 Cd
0.0389 0.3211 0.9485 Cd
0.0515 0.5904 0.3726 Cd
0.0515 0.9611 0.6789 Cd
0.0904 0.0389 0.2179 Cd
0.0904 0.5515 0.8726 Cd
0.1274 0.7179 0.6789 Cd
0.1274 0.9096 0.4485 Cd
0.1789 0.2179 0.6274 Cd
0.1789 0.4611 0.5515 Cd
0.2179 0.0904 0.0389 Cd
0.2179 0.6274 0.1789 Cd
0.2821 0.3211 0.8726 Cd
0.2821 0.4611 0.4096 Cd
0.3211 0.8726 0.2821 Cd
0.3211 0.9485 0.0389 Cd
0.3726 0.0515 0.5904 Cd
0.3726 0.8211 0.7821 Cd
0.4096 0.2821 0.4611 Cd
0.4096 0.6274 0.9485 Cd
0.4485 0.1274 0.9096 Cd
0.4485 0.8211 0.5389 Cd
0.4611 0.4096 0.2821 Cd
0.4611 0.5515 0.1789 Cd
0.5389 0.4485 0.8211 Cd
0.5389 0.5904 0.7179 Cd
0.5515 0.1789 0.4611 Cd
0.5515 0.8726 0.0904 Cd
0.5904 0.3726 0.0515 Cd
0.5904 0.7179 0.5389 Cd
0.6274 0.1789 0.2179 Cd
0.6274 0.9485 0.4096 Cd
0.6789 0.0515 0.9611 Cd
0.6789 0.1274 0.7179 Cd
0.7179 0.5389 0.5904 Cd
0.7179 0.6789 0.1274 Cd
0.7821 0.3726 0.8211 Cd
0.7821 0.9096 0.9611 Cd
0.8211 0.5389 0.4485 Cd
0.8211 0.7821 0.3726 Cd
0.8726 0.0904 0.5515 Cd
0.8726 0.2821 0.3211 Cd
0.9096 0.4485 0.1274 Cd
0.9096 0.9611 0.7821 Cd
0.9485 0.0389 0.3211 Cd
0.9485 0.4096 0.6274 Cd
0.9611 0.6789 0.0515 Cd
0.9611 0.7821 0.9096 Cd
0.0000 0.0000 0.0000 In
0.0000 0.0000 0.5000 In
0.0000 0.5000 0.0000 In
0.0000 0.5000 0.5000 In
0.1250 0.7500 0.8750 In
0.1250 0.8750 0.2500 In
0.2500 0.1250 0.8750 In
0.2500 0.6250 0.3750 In
0.3750 0.2500 0.6250 In
0.3750 0.6250 0.7500 In
0.5000 0.0000 0.0000 In
0.5000 0.0000 0.5000 In
0.5000 0.5000 0.0000 In
0.5000 0.5000 0.5000 In
0.6250 0.3750 0.2500 In
0.6250 0.7500 0.3750 In
0.7500 0.3750 0.6250 In
0.7500 0.8750 0.1250 In
0.8750 0.1250 0.7500 In
0.8750 0.2500 0.1250 In
0.1250 0.2500 0.3750 Br
0.1250 0.3750 0.7500 Br
0.2500 0.3750 0.1250 Br
0.2500 0.8750 0.6250 Br
0.3750 0.1250 0.2500 Br
0.3750 0.7500 0.1250 Br
0.6250 0.2500 0.8750 Br
0.6250 0.8750 0.7500 Br
0.7500 0.1250 0.3750 Br
0.7500 0.6250 0.8750 Br
0.8750 0.6250 0.2500 Br
0.8750 0.7500 0.6250 Br
```

Entry 2:
VASP calculation (PBE-GGA) on an optimized crystal structure of CdInBr4.

Computed properties:
Uncorrected formation energy   -0.673 eV per atom
Symmetry   C2/c, No. 15
Electronic total energy   -28.8 eV for the cell shown
Crystal system   monoclinic
ΔE to the lowest computed polymorph   52 meV/atom

```
CdInBr4
1.0
3.6466 -9.6731 0.0000
3.6466 9.6731 0.0000
-0.4284 0.0000 6.9248
Cd In Br
2 2 8
direct
0.0681 0.9319 0.7500 Cd
0.9319 0.0681 0.2500 Cd
0.4316 0.5684 0.2500 In
0.5684 0.4316 0.7500 In
0.0960 0.4124 0.3981 Br
0.1814 0.2709 0.9270 Br
0.2709 0.1814 0.4270 Br
0.4124 0.0960 0.8981 Br
0.5876 0.9040 0.1019 Br
0.7291 0.8186 0.5730 Br
0.8186 0.7291 0.0730 Br
0.9040 0.5876 0.6019 Br
```

Entry 3:
VASP calculation (PBE-GGA) on an optimized crystal structure of CdInBr2.

Computed properties:
Uncorrected formation energy   -0.403 eV per atom
Symmetry   P2/m, No. 10
Electronic total energy   -8.6 eV for the cell shown
Crystal system   monoclinic
ΔE to the lowest computed polymorph   149 meV/atom

```
CdInBr2
1.0
3.8215 0.0000 0.0000
0.0000 4.1461 0.0000
-0.0158 0.0000 8.2106
Cd In Br
1 1 2
direct
0.0000 0.0000 0.0000 Cd
0.5000 0.0000 0.5000 In
0.9996 0.5000 0.2593 Br
0.0004 0.5000 0.7407 Br
```

Entry 4:
VASP calculation (PBE-GGA) on an optimized crystal structure of CdIn3Br4.

Computed properties:
Uncorrected formation energy   -0.542 eV per atom
Symmetry   Pmn2_1, No. 31
Electronic total energy   -40.3 eV for the cell shown
Crystal system   orthorhombic

```
CdIn3Br4
1.0
13.1781 0.0000 0.0000
0.0000 6.5574 0.0000
0.0000 0.0000 6.5501
Cd In Br
2 6 8
direct
0.0000 0.2504 0.0000 Cd
0.5000 0.7496 0.5000 Cd
0.0000 0.7491 0.4996 In
0.2500 0.2514 0.4983 In
0.2500 0.7486 0.9983 In
0.5000 0.2509 0.9996 In
0.7500 0.2514 0.4983 In
0.7500 0.7486 0.9983 In
0.0000 0.2478 0.4986 Br
0.0000 0.7418 0.9998 Br
0.2419 0.2470 0.9982 Br
0.2581 0.7530 0.4982 Br
0.5000 0.2582 0.4998 Br
0.5000 0.7522 0.9986 Br
0.7419 0.7530 0.4982 Br
0.7581 0.2470 0.9982 Br
```

Which value of uncorrected formation energy does entry 1 give? 0.073 eV per atom